Material: K2ZrVSb
Method: DFT, PBE
State: optimized geometry

Calculated values
* Fermi-level density of states: 7.22 states/eV/cell
* uncorrected formation energy: 1.043 eV/atom

Geometry as CIF:
```
data_K2ZrVSb
_space_group_name_H-M_alt 'P 4/m m m'
_space_group_IT_number 123
_space_group_name_Hall '-P 4 2'
_cell_length_a 6.406
_cell_length_b 6.406
_cell_length_c 5.555
_cell_angle_alpha 90.00
_cell_angle_beta 90.00
_cell_angle_gamma 90.00
loop_
_atom_site_label
_atom_site_fract_x
_atom_site_fract_y
_atom_site_fract_z
K1 0.000 0.500 0.000
Zr1 0.000 0.000 0.500
V1 0.500 0.500 0.500
Sb1 0.000 0.000 0.000
```

***

Material: Rb2CdPbAu2
Method: DFT, PBE
State: optimized geometry

Calculated values
* E_form: -0.20 eV per atom
* Fermi-level density of states: 12.14 states/eV/cell

Geometry as CIF:
```
data_Rb2CdPbAu2
_space_group_name_H-M_alt 'I b a m'
_space_group_IT_number 72
_space_group_name_Hall '-I 2 2c'
_cell_length_a 7.247
_cell_length_b 15.761
_cell_length_c 7.224
_cell_angle_alpha 90.00
_cell_angle_beta 90.00
_cell_angle_gamma 90.00
loop_
_atom_site_label
_atom_site_fract_x
_atom_site_fract_y
_atom_site_fract_z
Rb1 0.234 0.179 0.000
Cd1 0.000 0.000 0.250
Pb1 0.000 0.500 0.250
Au1 0.246 0.089 0.500
```